1.
DFT (PBE) results for a geometry-optimized TiTlTc3 structure.

Results
Density: 9351 kg/m³
Crystal system: cubic
E above lowest polymorph: 0.0 kJ/mol of atoms
Total DFT energy (no corrections): -35.0 eV/cell
Formation energy: 1281 meV per atom
Space group: Pm-3m

abc: 4.5948 4.5948 4.5948
angles: 90.00 90.00 90.00
Closest atoms and distances in Å follow each position.
Positions (direct):
Tc: 0.0000 0.0000 0.5000  2 Ti 2.30
Tc: 0.0000 0.5000 0.0000  2 Ti 2.30
Tc: 0.5000 0.0000 0.0000  2 Ti 2.30
Tl: 0.5000 0.5000 0.5000  12 Tc 3.25
Ti: 0.0000 0.0000 0.0000  6 Tc 2.30

2.
DFT (PBE) results for a geometry-optimized CaGeB2N4 structure.

Results
Density: 4126 kg/m³
Crystal system: tetragonal
Total DFT energy (no corrections): -54.6 eV/cell
Formation energy without anion corrections: -0.17 eV per atom
Space group: I-42m

abc: 4.1901 4.1901 5.2740
angles: 113.40 113.40 90.02
Closest atoms and distances in Å follow each position.
Positions (direct):
Ge: 0.5000 0.5000 0.0000  4 N 1.91
Ca: 0.0002 0.0002 0.0003  4 N 2.15
B: 0.2500 0.7500 0.5000  4 N 1.69
B: 0.7500 0.2500 0.5000  4 N 1.69
N: 0.8809 0.4356 0.3164  2 B 1.69
N: 0.1191 0.1191 0.6837  2 B 1.69
N: 0.4356 0.8809 0.3164  2 B 1.69
N: 0.5646 0.5646 0.6837  2 B 1.69

3.
DFT (PBE) results for a geometry-optimized BeGe2SbCl structure.

Results
Density: 4831 kg/m³
Crystal system: tetragonal
Total DFT energy (no corrections): -16.9 eV/cell
Formation energy without anion corrections: 0.40 eV per atom
Space group: P4/mmm

abc: 4.5734 4.5734 5.1190
angles: 90.00 90.00 90.00
Closest atoms and distances in Å follow each position.
Positions (direct):
Ge: 0.5000 0.0000 0.0000  2 Be 2.29
Ge: 0.0000 0.5000 0.0000  2 Be 2.29
Be: 0.0000 0.0000 0.0000  4 Ge 2.29, 2 Sb 2.56
Cl: 0.5000 0.5000 0.5000  4 Sb 3.23, 8 Ge 3.43
Sb: 0.0000 0.0000 0.5000  2 Be 2.56

4.
DFT (PBE) results for a geometry-optimized Pr12Nd3Pu structure.

Results
Density: 6916 kg/m³
Crystal system: tetragonal
Total DFT energy (no corrections): -85.3 eV/cell
Formation energy: 43 meV per atom
Space group: P4/mmm

abc: 5.2233 5.2233 20.8351
angles: 90.00 90.00 90.00
Closest atoms and distances in Å follow each position.
Positions (direct):
Pr: 0.5000 0.5000 0.0000  8 Pr 3.62, 4 Pu 3.69
Pr: 0.5000 0.5000 0.2479  4 Nd 3.69, 8 Pr 3.70-3.72
Pr: 0.0000 0.5000 0.3737  8 Pr 3.69-3.71, 4 Nd 3.70-3.71
Pr: 0.5000 0.0000 0.8794  8 Pr 3.62-3.72, 2 Pu 3.62, 2 Nd 3.73
Pr: 0.0000 0.5000 0.6263  8 Pr 3.69-3.71, 4 Nd 3.70-3.71
Pr: 0.5000 0.5000 0.5000  4 Nd 3.69, 8 Pr 3.71
Pr: 0.5000 0.5000 0.7521  4 Nd 3.69, 8 Pr 3.70-3.72
Pr: 0.5000 0.0000 0.1206  8 Pr 3.62-3.72, 2 Pu 3.62, 2 Nd 3.73
Pr: 0.5000 0.0000 0.6263  8 Pr 3.69-3.71, 4 Nd 3.70-3.71
Pr: 0.5000 0.0000 0.3737  8 Pr 3.69-3.71, 4 Nd 3.70-3.71
Pr: 0.0000 0.5000 0.8794  8 Pr 3.62-3.72, 2 Pu 3.62, 2 Nd 3.73
Pr: 0.0000 0.5000 0.1206  8 Pr 3.62-3.72, 2 Pu 3.62, 2 Nd 3.73
Nd: 0.0000 0.0000 0.2482  12 Pr 3.69-3.73
Nd: 0.0000 0.0000 0.5000  12 Pr 3.69-3.71
Nd: 0.0000 0.0000 0.7518  12 Pr 3.69-3.73
Pu: 0.0000 0.0000 0.0000  12 Pr 3.62-3.69

5.
DFT (PBE) results for a geometry-optimized CoPBr2 structure.

Results
Density: 4493 kg/m³
Crystal system: orthorhombic
E above lowest polymorph: 53.4 kJ/mol of atoms
Total DFT energy (no corrections): -15.0 eV/cell
Formation energy without anion corrections: 0.22 eV per atom
Space group: Immm

abc: 8.1035 8.1035 8.1035
angles: 156.26 154.45 35.15
Closest atoms and distances in Å follow each position.
Positions (direct):
Br: 0.1115 0.1115 0.0000  2 Co 2.71, 2 P 2.79
Br: 0.3885 0.3885 0.0000  2 Co 2.71, 2 P 2.79
P: 0.7500 0.2500 0.5000  4 Co 2.45
Co: 0.2500 0.7500 0.5000  4 P 2.45, 4 Br 2.71

6.
DFT (PBE) results for a geometry-optimized Hg2Pb2Br structure.

Results
Density: 9757 kg/m³
Crystal system: tetragonal
E above lowest polymorph: 0.0 kJ/mol of atoms
Total DFT energy (no corrections): -20.8 eV/cell
Formation energy without anion corrections: -0.14 eV per atom
Space group: P4/mbm

abc: 8.4590 8.4590 4.2597
angles: 90.00 90.00 90.00
Closest atoms and distances in Å follow each position.
Positions (direct):
Pb: 0.1485 0.3515 0.0000  6 Hg 3.17-3.34, 2 Br 3.23
Pb: 0.8515 0.6485 0.0000  6 Hg 3.17-3.34, 2 Br 3.23
Pb: 0.3515 0.8515 0.0000  6 Hg 3.17-3.34, 2 Br 3.23
Pb: 0.6485 0.1485 0.0000  6 Hg 3.17-3.34, 2 Br 3.23
Hg: 0.3444 0.1556 0.5000  6 Pb 3.17-3.34
Hg: 0.1556 0.6556 0.5000  6 Pb 3.17-3.34
Hg: 0.8444 0.3444 0.5000  6 Pb 3.17-3.34
Hg: 0.6556 0.8444 0.5000  6 Pb 3.17-3.34
Br: 0.5000 0.5000 0.0000  4 Pb 3.23
Br: 0.0000 0.0000 0.0000  4 Pb 3.23

7.
DFT (PBE) results for a geometry-optimized AlCuRe2Pd structure.

Results
Density: 11052 kg/m³
Crystal system: tetragonal
Total DFT energy (no corrections): -30.0 eV/cell
Formation energy: 1590 meV per atom
Space group: P4/mmm

abc: 4.4974 4.2295 4.4974
angles: 90.00 90.00 90.00
Closest atoms and distances in Å follow each position.
Positions (direct):
Pd: 0.5000 0.5000 0.5000  8 Re 3.09, 4 Cu 3.18
Re: 0.0000 0.0000 0.5000  2 Al 2.25
Re: 0.5000 0.0000 0.0000  2 Al 2.25
Cu: 0.0000 0.5000 0.0000  2 Al 2.11
Al: 0.0000 0.0000 0.0000  2 Cu 2.11, 4 Re 2.25

8.
DFT (PBE) results for a geometry-optimized Er3Mg2Pd6 structure.

Results
Density: 8977 kg/m³
Crystal system: cubic
Total DFT energy (no corrections): -113.6 eV/cell
Formation energy: -795 meV per atom
Space group: Im-3m

abc: 8.2981 8.2981 8.2981
angles: 109.47 109.47 109.47
Closest atoms and distances in Å follow each position.
Positions (direct):
Er: 0.0000 0.6951 0.6951  4 Pd 2.88
Er: 0.6951 0.0000 0.6951  4 Pd 2.88
Er: 0.3049 0.3049 0.0000  4 Pd 2.88
Er: 0.3049 0.0000 0.3049  4 Pd 2.88
Er: 0.6951 0.6951 0.0000  4 Pd 2.88
Er: 0.0000 0.3049 0.3049  4 Pd 2.88
Mg: 0.0000 0.0000 0.5000  6 Pd 2.68
Mg: 0.5000 0.0000 0.0000  6 Pd 2.68
Mg: 0.5000 0.5000 0.5000  6 Pd 2.68
Mg: 0.0000 0.5000 0.0000  6 Pd 2.68
Pd: 0.3382 0.6764 0.3382  2 Mg 2.68, 4 Pd 2.77, 2 Er 2.88
Pd: 0.6618 0.6618 0.3236  2 Mg 2.68, 4 Pd 2.77, 2 Er 2.88
Pd: 0.6618 0.3382 0.0000  2 Mg 2.68, 4 Pd 2.77, 2 Er 2.88
Pd: 0.0000 0.3382 0.6618  2 Mg 2.68, 4 Pd 2.77, 2 Er 2.88
Pd: 0.3382 0.6618 0.0000  2 Mg 2.68, 4 Pd 2.77, 2 Er 2.88
Pd: 0.3236 0.6618 0.6618  2 Mg 2.68, 4 Pd 2.77, 2 Er 2.88
Pd: 0.6764 0.3382 0.3382  2 Mg 2.68, 4 Pd 2.77, 2 Er 2.88
Pd: 0.0000 0.6618 0.3382  2 Mg 2.68, 4 Pd 2.77, 2 Er 2.88
Pd: 0.3382 0.3382 0.6764  2 Mg 2.68, 4 Pd 2.77, 2 Er 2.88
Pd: 0.6618 0.3236 0.6618  2 Mg 2.68, 4 Pd 2.77, 2 Er 2.88
Pd: 0.6618 0.0000 0.3382  2 Mg 2.68, 4 Pd 2.77, 2 Er 2.88
Pd: 0.3382 0.0000 0.6618  2 Mg 2.68, 4 Pd 2.77, 2 Er 2.88

- Among the records above, which one has the highest total DFT energy (no corrections)?
  CoPBr2